Record 1
## ScNi2BiP (GGA-PBE)

Data for a relaxed ScNi2BiP crystal.

```
ScNi2BiP
1.0
-1.500 -1.468 -4.143
3.670 -2.827 -0.327
-2.844 -3.973 2.437
Ni Sc Bi P
2 1 1 1
Cartesian
1.835 -1.414 -0.163
-0.750 -0.734 -2.071
-0.337 -4.134 -1.016
0.000 0.000 0.000
-1.422 -1.986 1.219
```

Output
* density of states at the Fermi level: 0.9480 states/eV/atom
* formation energy from the elements: 0.80 eV per atom

***

Record 2
## ReOs (GGA-PBE)

Data for a relaxed ReOs crystal.

```
ReOs
1.0
5.055 0.000 0.000
0.000 5.382 0.000
0.000 0.000 8.789
Re Os
8 8
Cartesian
4.965 5.173 2.480
2.437 2.899 6.309
2.618 0.208 6.875
2.420 0.623 2.147
0.091 2.482 1.915
4.948 2.068 6.642
2.635 3.314 2.247
0.107 4.759 6.542
3.730 3.630 8.594
3.852 1.752 4.199
4.284 0.836 0.050
1.325 0.939 4.590
3.298 4.546 4.444
0.771 3.526 4.345
1.757 1.855 8.740
1.203 4.443 0.195
```

Output
* density of states at the Fermi level: 0.7367 states/eV/atom
* formation energy from the elements: 0.18 eV per atom
* relative energy among the computed polymorphs: 275 meV per atom

***

Record 3
## CaLa2Mn (GGA-PBE)

Data for a relaxed CaLa2Mn crystal.

```
CaLa2Mn
1.0
-1.845 -1.214 2.975
0.268 -3.475 -1.256
8.054 -1.032 4.574
Mn Ca La
1 1 2
Cartesian
3.945 -0.506 2.240
4.818 -3.063 4.043
1.615 -2.653 2.225
0.126 -0.016 0.072
```

Output
* density of states at the Fermi level: 1.5237 states/eV/atom
* formation energy from the elements: 0.23 eV per atom
* relative energy among the computed polymorphs: 60 meV per atom

***

Record 4
## CdIn2Tc (GGA-PBE)

Data for a relaxed CdIn2Tc crystal.

```
CdIn2Tc
1.0
5.477 0.000 0.000
2.390 4.928 0.000
-3.933 -2.464 2.908
Tc Cd In
1 1 2
Cartesian
3.933 2.464 0.000
2.738 0.000 1.454
1.195 2.464 1.454
0.000 0.000 0.000
```

Output
* density of states at the Fermi level: 0.2460 states/eV/atom
* formation energy from the elements: 0.24 eV per atom

***

Record 5
## Li2GeHRh (GGA-PBE)

Data for a relaxed Li2GeHRh crystal.

```
Li2GeHRh
1.0
-3.461 -0.969 -1.271
1.322 -0.033 -3.575
0.890 -3.655 0.363
Li Rh H Ge
2 1 1 1
Cartesian
-1.730 -0.485 -0.635
0.661 -0.016 -1.788
0.445 -1.828 0.181
0.000 0.000 0.000
-0.624 -2.329 -2.242
```

Output
* density of states at the Fermi level: 0.2372 states/eV/atom
* E: -4.228 eV/atom

***

Record 6
## TaTeRh2 (GGA-PBE)

Data for a relaxed TaTeRh2 crystal.

```
TaTeRh2
1.0
3.465 0.000 0.000
0.000 3.465 0.000
0.000 0.000 5.800
Rh Ta Te
2 1 1
Cartesian
0.000 0.000 4.470
0.000 0.000 1.330
1.733 1.733 0.000
1.733 1.733 2.900
```

Output
* density of states at the Fermi level: 0.3747 states/eV/atom
* uncorrected formation energy: -285 meV/atom

***

Record 7
## TlRhBrCl2 (GGA-PBE)

Data for a relaxed TlRhBrCl2 crystal.

```
TlRhBrCl2
1.0
-1.590 2.395 -3.970
3.013 -2.656 -2.809
-3.725 -3.544 -0.646
Rh Cl Tl Br
1 2 1 1
Cartesian
0.000 0.000 0.000
1.507 -1.328 -1.404
-0.795 1.197 -1.985
-1.151 -1.903 -3.712
-1.863 -1.772 -0.323
```

Output
* density of states at the Fermi level: 0.6667 states/eV/atom
* uncorrected formation energy: -513 meV/atom

***

Record 8
## Cs4Pr3HfSe8 (GGA-PBE)

Data for a relaxed Cs4Pr3HfSe8 crystal.

```
Cs4Pr3HfSe8
1.0
8.614 0.000 0.000
0.000 9.747 0.787
-4.307 -4.306 6.095
Cs Se Pr Hf
4 8 3 1
Cartesian
4.307 0.000 0.000
2.154 -2.153 3.048
0.000 0.000 0.000
-2.154 -2.153 3.048
4.307 4.795 3.385
-2.325 2.504 6.455
6.632 2.937 0.427
0.000 4.828 3.166
4.307 0.613 3.716
0.000 0.646 3.498
2.325 2.504 6.455
1.982 2.937 0.427
4.307 4.874 0.394
2.154 2.720 3.441
-2.154 2.720 3.441
0.000 4.874 0.394
```

Output
* density of states at the Fermi level: 0.2817 states/eV/atom
* uncorrected formation energy: -1579 meV/atom

***

Record 9
## Pu2Zn3Ga2 (GGA-PBE)

Data for a relaxed Pu2Zn3Ga2 crystal.

```
Pu2Zn3Ga2
1.0
-3.504 -0.161 2.946
-0.801 0.079 -4.511
1.919 -7.595 1.867
Zn Ga Pu
3 2 2
Cartesian
-0.744 -3.721 -1.089
-1.642 -3.956 1.392
-1.752 -0.081 1.473
-0.825 -0.832 -1.027
-1.562 -6.844 1.330
1.005 -5.406 0.900
-3.392 -2.271 -0.597
```

Output
* density of states at the Fermi level: 2.7384 states/eV/atom
* formation energy from the elements: -0.19 eV per atom
* relative energy among the computed polymorphs: 0 meV per atom

***

Record 10
## Pm2Dy4Er3 (GGA-PBE)

Data for a relaxed Pm2Dy4Er3 crystal.

```
Pm2Dy4Er3
1.0
5.784 1.659 1.188
2.317 10.962 0.718
2.317 4.212 10.146
Dy Er Pm
8 6 4
Cartesian
5.729 10.604 9.581
5.450 5.414 8.996
4.690 6.229 2.471
4.968 11.419 3.055
1.798 3.517 4.507
2.558 9.432 1.633
8.621 13.316 7.545
7.860 7.401 10.419
2.279 3.602 1.185
6.655 8.170 7.245
3.763 8.662 4.806
5.247 13.720 8.430
8.139 13.230 10.866
5.172 3.112 3.622
4.192 5.467 5.976
6.227 11.366 6.075
7.084 8.248 3.843
3.335 8.584 8.208
```

Output
* density of states at the Fermi level: 1.3690 states/eV/atom
* formation energy from the elements: 0.09 eV per atom

***

Record 11
## Ac8Cd2Sn (GGA-PBE)

Data for a relaxed Ac8Cd2Sn crystal.

```
Ac8Cd2Sn
1.0
5.693 0.000 0.000
0.000 7.950 0.134
-2.846 -3.239 9.560
Ac Cd Sn
8 2 1
Cartesian
2.846 3.036 1.830
2.846 6.593 3.298
0.000 1.675 7.864
0.000 -1.881 6.396
0.000 1.177 3.863
2.846 -1.261 9.164
0.000 5.972 0.530
2.846 3.534 5.832
0.000 4.485 3.570
2.846 0.226 6.124
2.846 0.000 0.000
```

Output
* density of states at the Fermi level: 1.2113 states/eV/atom
* formation energy from the elements: -0.18 eV per atom

***

Record 12
## As2PtCl (GGA-PBE)

Data for a relaxed As2PtCl crystal.

```
As2PtCl
1.0
3.345 0.000 0.000
0.000 3.174 -0.036
0.000 0.137 7.540
As Cl Pt
2 1 1
Cartesian
0.000 0.916 7.119
0.000 0.876 4.172
1.673 0.828 1.876
1.673 2.483 5.628
```

Output
* density of states at the Fermi level: 0.3531 states/eV/atom
* uncorrected formation energy: -84 meV/atom
* relative energy among the computed polymorphs: 270 meV per atom

***

Record 13
## Mg2Cd2In2Hg (GGA-PBE)

Data for a relaxed Mg2Cd2In2Hg crystal.

```
Mg2Cd2In2Hg
1.0
5.204 0.000 0.000
-2.602 6.777 -0.881
0.000 -3.095 5.420
Hg Cd Mg In
1 2 2 2
Cartesian
0.000 -1.547 2.710
2.602 2.261 4.194
0.000 1.421 0.344
2.602 0.756 1.620
0.000 2.926 2.919
2.602 -0.745 4.310
0.000 4.427 0.228
```

Output
* density of states at the Fermi level: 0.4150 states/eV/atom
* formation energy from the elements: 0.02 eV per atom

***

Record 14
## DyPuPt (GGA-PBE)

Data for a relaxed DyPuPt crystal.

```
DyPuPt
1.0
-3.604 1.185 0.087
-0.577 -1.428 -4.449
-0.887 -2.957 3.555
Pt Dy Pu
1 1 1
Cartesian
-3.595 1.182 0.087
-1.803 -2.112 0.911
-3.274 -1.084 -1.718
```

Output
* density of states at the Fermi level: 2.8637 states/eV/atom
* formation energy from the elements: -0.46 eV per atom
* relative energy among the computed polymorphs: 137 meV per atom

***

Record 15
## Pm2TcSn (GGA-PBE)

Data for a relaxed Pm2TcSn crystal.

```
Pm2TcSn
1.0
5.210 0.000 0.000
2.605 4.512 0.000
2.605 1.504 4.254
Tc Pm Sn
1 2 1
Cartesian
0.000 0.000 0.000
7.815 4.512 3.191
2.605 1.504 1.064
5.210 3.008 2.127
```

Output
* density of states at the Fermi level: 0.6477 states/eV/atom
* formation energy from the elements: -0.14 eV per atom
* relative energy among the computed polymorphs: 57 meV per atom

***

Record 16
## LaScSb2 (GGA-PBE)

Data for a relaxed LaScSb2 crystal.

```
LaScSb2
1.0
0.000 3.804 3.804
3.804 0.000 3.804
3.804 3.804 0.000
Sb Sc La
2 1 1
Cartesian
1.902 1.902 1.902
5.707 5.707 5.707
0.000 0.000 0.000
3.804 3.804 3.804
```

Output
* density of states at the Fermi level: 1.1626 states/eV/atom
* uncorrected formation energy: -776 meV/atom
* relative energy among the computed polymorphs: 309 meV per atom

***

Record 17
## NaSrSi3 (GGA-PBE)

Data for a relaxed NaSrSi3 crystal.

```
NaSrSi3
1.0
-3.764 2.110 3.651
-0.352 -5.033 2.547
4.202 1.468 3.483
Si Sr Na
3 1 1
Cartesian
-0.176 -2.517 1.273
2.101 0.734 1.742
-1.882 1.055 1.825
0.000 0.000 0.000
0.043 -0.727 4.840
```

Output
* density of states at the Fermi level: 1.3037 states/eV/atom
* uncorrected formation energy: 1309 meV/atom
* relative energy among the computed polymorphs: 1523 meV per atom

***

Record 18
## Ag2TeAu (GGA-PBE)

Data for a relaxed Ag2TeAu crystal.

```
Ag2TeAu
1.0
5.390 -0.001 -0.005
-3.303 5.802 -0.070
0.044 1.603 2.617
Te Au Ag
1 1 2
Cartesian
2.717 0.801 1.306
1.044 2.901 -0.038
-1.629 3.703 1.273
0.000 0.000 0.000
```

Output
* density of states at the Fermi level: 0.2834 states/eV/atom
* uncorrected formation energy: 117 meV/atom

***

Record 19
## CsY3Cd (GGA-PBE)

Data for a relaxed CsY3Cd crystal.

```
CsY3Cd
1.0
-1.670 5.362 -0.401
-0.037 -0.432 -5.613
-5.377 -1.663 0.163
Y Cd Cs
3 1 1
Cartesian
-0.019 -0.216 -2.807
-0.835 2.681 -0.201
-2.688 -0.831 0.082
-3.542 1.634 -2.926
0.000 0.000 0.000
```

Output
* density of states at the Fermi level: 1.3305 states/eV/atom
* formation energy from the elements: 1.23 eV per atom
* relative energy among the computed polymorphs: 748 meV per atom

***

Record 20
## Nd2HfTl2Se6 (GGA-PBE)

Data for a relaxed Nd2HfTl2Se6 crystal.

```
Nd2HfTl2Se6
1.0
7.195 0.006 0.055
-3.551 6.258 0.055
-1.310 -2.252 7.754
Se Hf Nd Tl
6 1 2 2
Cartesian
0.790 5.146 2.390
0.464 0.798 2.319
4.083 3.230 2.390
-1.749 0.781 5.475
1.869 3.213 5.545
1.544 -1.135 5.475
-0.655 -1.126 3.877
2.965 0.960 3.932
-0.631 3.052 3.932
-1.715 5.190 0.055
5.359 1.074 0.055
```

Output
* uncorrected formation energy: -1352 meV/atom

***

Record 21
## Rb2AlInBr (GGA-PBE)

Data for a relaxed Rb2AlInBr crystal.

```
Rb2AlInBr
1.0
7.069 0.000 0.000
0.000 4.927 0.000
0.000 0.000 7.069
Rb Al In Br
2 1 1 1
Cartesian
3.534 0.000 0.000
0.000 0.000 3.534
0.000 0.000 0.000
0.000 2.464 0.000
3.534 2.464 3.534
```

Output
* density of states at the Fermi level: 0.4290 states/eV/atom
* uncorrected formation energy: -238 meV/atom
* relative energy among the computed polymorphs: 0 meV per atom

***

Record 22
## ThNpCu4 (GGA-PBE)

Data for a relaxed ThNpCu4 crystal.

```
ThNpCu4
1.0
-3.334 -2.140 -3.494
-2.254 -4.668 1.016
-5.162 -0.259 1.091
Th Np Cu
1 1 4
Cartesian
0.000 0.000 0.000
-2.687 -1.767 -0.347
-4.139 -4.286 -1.411
-6.717 -4.415 -0.867
-5.591 -2.084 -1.374
-5.052 -3.347 0.878
```

Output
* density of states at the Fermi level: 2.7345 states/eV/atom
* formation energy from the elements: 0.13 eV per atom

***

Record 23
## Sr2HgBiPt (GGA-PBE)

Data for a relaxed Sr2HgBiPt crystal.

```
Sr2HgBiPt
1.0
-5.343 -2.214 -0.134
2.026 -5.015 2.053
-0.812 1.664 4.867
Hg Bi Sr Pt
1 1 2 1
Cartesian
-0.406 0.832 2.434
-2.065 -2.782 3.393
1.013 -2.508 1.026
-2.672 -1.107 -0.067
0.000 0.000 0.000
```

Output
* density of states at the Fermi level: 0.5661 states/eV/atom
* formation energy from the elements: -0.56 eV per atom

***

Record 24
## Na12Cd2Au (GGA-PBE)

Data for a relaxed Na12Cd2Au crystal.

```
Na12Cd2Au
1.0
6.593 0.000 0.000
0.000 6.593 0.000
0.000 0.000 23.654
Na Cd Au
24 4 2
Cartesian
3.297 3.297 7.561
4.482 1.186 10.227
4.945 4.945 1.843
4.945 1.648 21.810
0.000 0.000 19.135
3.297 3.297 4.519
2.111 1.186 13.427
3.297 3.297 19.135
1.648 1.648 21.810
1.648 1.648 1.843
2.111 5.408 10.227
0.000 0.000 7.561
5.408 2.111 13.427
0.000 0.000 16.093
1.648 4.945 21.810
1.648 4.945 1.843
4.945 4.945 21.810
4.945 1.648 1.843
3.297 3.297 16.093
1.186 4.482 13.427
1.186 2.111 10.227
5.408 4.482 10.227
0.000 0.000 4.519
4.482 5.408 13.427
3.297 0.000 5.806
0.000 3.297 17.848
0.000 3.297 5.806
3.297 0.000 17.848
0.000 3.297 0.000
3.297 0.000 0.000
```

Output
* density of states at the Fermi level: 0.5131 states/eV/atom
* formation energy from the elements: 0.04 eV per atom

***

Record 25
## TbHoThAl (GGA-PBE)

Data for a relaxed TbHoThAl crystal.

```
TbHoThAl
1.0
-5.234 0.900 0.853
-3.662 -2.023 -3.380
-3.196 -4.023 1.591
Tb Ho Al Th
1 1 1 1
Cartesian
0.000 0.000 0.000
-9.069 -3.859 -0.702
-3.023 -1.286 -0.234
-6.046 -2.573 -0.468
```

Output
* density of states at the Fermi level: 1.4213 states/eV/atom
* formation energy from the elements: -0.03 eV per atom

***

Number 1: magnetization 0.0 μB/f.u.. Number 2: magnetization 0.0 μB/f.u.. Number 3: magnetization 4.0 μB/f.u.. Number 4: magnetization 0.9 μB/f.u.. Number 5: magnetization 0.0 μB/f.u.. Number 6: magnetization 0.0 μB/f.u.. Number 7: magnetization 0.0 μB/f.u.. Number 8: magnetization 0.0 μB/f.u.. Number 9: magnetization 11.1 μB/f.u.. Number 10: magnetization 0.0 μB/f.u.. Number 11: magnetization 0.0 μB/f.u.. Number 12: magnetization 0.0 μB/f.u.. Number 13: magnetization 0.0 μB/f.u.. Number 14: magnetization 5.9 μB/f.u.. Number 15: magnetization 0.0 μB/f.u.. Number 16: magnetization 0.0 μB/f.u.. Number 17: magnetization 0.0 μB/f.u.. Number 18: magnetization 0.0 μB/f.u.. Number 19: magnetization 0.0 μB/f.u.. Number 20: magnetization 0.0 μB/f.u.. Number 21: magnetization 0.0 μB/f.u.. Number 22: magnetization 4.5 μB/f.u.. Number 23: magnetization 0.0 μB/f.u.. Number 24: magnetization 0.0 μB/f.u.. Number 25: magnetization 0.0 μB/f.u..